Entry 1:
A plane-wave DFT calculation with PBE was carried out for an optimized crystal structure of GdYHgGe.

a b c (Å): 7.337 7.337 7.337
angles (deg): 90.00 90.00 90.00
Space group F-43m (No. 216)
Symmetry-distinct sites (fractional):
Gd 0.000 0.000 0.000
Y 0.000 0.000 0.500
Hg 0.250 0.250 0.750
Ge 0.250 0.250 0.250

Entry 2:
A plane-wave DFT calculation with PBE was carried out for an optimized crystal structure of GdHoGe4.

a b c (Å): 7.970 7.970 7.970
angles (deg): 90.00 90.00 90.00
Space group F-43m (No. 216)
Symmetry-distinct sites (fractional):
Gd 0.000 0.000 0.000
Ho 0.250 0.250 0.250
Ge 0.125 0.125 0.625

Entry 3:
A plane-wave DFT calculation with PBE was carried out for an optimized crystal structure of GdHoGe.

* energy above the most stable polymorph in this dataset: 0.153 eV per atom

a b c (Å): 4.7272 4.7272 4.1513
angles (deg): 90.00 90.00 120.00
Space group P3m1 (No. 156)
Symmetry-distinct sites (fractional):
Gd 0.0000 0.0000 0.0000
Ho 0.3333 0.6667 0.4770
Ge 0.6667 0.3333 0.6557

Entry 4:
A plane-wave DFT calculation with PBE was carried out for an optimized crystal structure of GdHoGe.

* energy above the most stable polymorph in this dataset: 0.000 eV per atom

a b c (Å): 6.921 6.921 6.921
angles (deg): 90.00 90.00 90.00
Space group F-43m (No. 216)
Symmetry-distinct sites (fractional):
Gd 0.000 0.000 0.000
Ho 0.000 0.000 0.500
Ge 0.250 0.250 0.250

Entry 5:
A plane-wave DFT calculation with PBE was carried out for an optimized crystal structure of GdHoGe.

* energy above the most stable polymorph in this dataset: 0.096 eV per atom

a b c (Å): 3.841 3.841 10.261
angles (deg): 90.00 90.00 90.00
Space group I4mm (No. 107)
Symmetry-distinct sites (fractional):
Gd 0.000 0.000 0.000
Ho 0.000 0.000 0.707
Ge 0.000 0.000 0.346

Entry 6:
A plane-wave DFT calculation with PBE was carried out for an optimized crystal structure of GdHoInGe.

a b c (Å): 7.376 7.376 7.376
angles (deg): 90.00 90.00 90.00
Space group F-43m (No. 216)
Symmetry-distinct sites (fractional):
Gd 0.000 0.000 0.000
Ho 0.000 0.000 0.500
In 0.250 0.250 0.750
Ge 0.250 0.250 0.250

Entry 7:
A plane-wave DFT calculation with PBE was carried out for an optimized crystal structure of GdHoGeIr.

a b c (Å): 7.029 7.029 7.029
angles (deg): 90.00 90.00 90.00
Space group F-43m (No. 216)
Symmetry-distinct sites (fractional):
Gd 0.000 0.000 0.000
Ho 0.000 0.000 0.500
Ge 0.250 0.250 0.750
Ir 0.250 0.250 0.250

Entry 8:
A plane-wave DFT calculation with PBE was carried out for an optimized crystal structure of GdHoGePt.

a b c (Å): 7.097 7.097 7.097
angles (deg): 90.00 90.00 90.00
Space group F-43m (No. 216)
Symmetry-distinct sites (fractional):
Gd 0.000 0.000 0.000
Ho 0.000 0.000 0.500
Ge 0.250 0.250 0.250
Pt 0.250 0.250 0.750

Number 1: raw total energy -111.13 eV for the cell shown, volume 395 Å³ per cell. Number 2: raw total energy -156.43 eV for the cell shown, volume 506 Å³ per cell. Number 3: raw total energy -24.44 eV for the cell shown, volume 80 Å³ per cell. Number 4: raw total energy -99.60 eV for the cell shown, volume 331 Å³ per cell. Number 5: raw total energy -49.22 eV for the cell shown, volume 151 Å³ per cell. Number 6: raw total energy -111.90 eV for the cell shown, volume 401 Å³ per cell. Number 7: raw total energy -139.47 eV for the cell shown, volume 347 Å³ per cell. Number 8: raw total energy -132.24 eV for the cell shown, volume 357 Å³ per cell.